Compound: Li3MnO3
Source: the Alexandria database
Functional: PBE with a Hubbard U
Structure: relaxed

Lattice parameters (Å, degrees): 5.259 9.999 5.268 90.00 107.26 90.00
Positions (direct):
Li 0.100 0.006 0.204
Li 0.100 0.494 0.704
Li 0.146 0.743 0.126
Li 0.146 0.757 0.626
Li 0.326 0.222 0.055
Li 0.326 0.278 0.555
Li 0.674 0.722 0.445
Li 0.674 0.778 0.945
Li 0.854 0.243 0.374
Li 0.854 0.257 0.874
Li 0.900 0.506 0.296
Li 0.900 0.994 0.796
Mn 0.366 0.021 0.707
Mn 0.366 0.479 0.207
Mn 0.634 0.521 0.793
Mn 0.634 0.979 0.293
O 0.090 0.146 0.707
O 0.090 0.354 0.207
O 0.274 0.598 0.457
O 0.274 0.902 0.957
O 0.416 0.114 0.393
O 0.416 0.386 0.893
O 0.584 0.614 0.107
O 0.584 0.886 0.607
O 0.726 0.098 0.043
O 0.726 0.402 0.543
O 0.910 0.646 0.793
O 0.910 0.854 0.293

## Properties
E above lowest polymorph   0.0392 eV/atom
M_tot   0.57 μB/atom
Space-group type   No. 14